DFT (PBE) results for crystalline Pr3Mg3Ga2Au at its relaxed geometry.

Calculated values
VASP energy ... -3.703 eV per atom

Lattice parameters (Å, degrees): 7.578 7.578 4.481 90.00 90.00 120.00
Fractional coordinates of all 9 atoms:
Pr 0.000 0.582 0.000
Pr 0.418 0.418 0.000
Pr 0.582 0.000 0.000
Mg 0.000 0.239 0.500
Mg 0.239 0.000 0.500
Mg 0.761 0.761 0.500
Ga 0.333 0.667 0.500
Ga 0.667 0.333 0.500
Au 0.000 0.000 0.000